26
Lattice="-1.713 -0.912 -3.790 2.860 -6.302 2.616 -22.067 -5.327 11.253" Properties=species:S:1:pos:R:3 comment="La7AgPt5 | the Alexandria database | PBE | optimized geometry" crystal_system=monoclinic delta_e_f_mev_per_atom=-956 total_energy_ev_per_cell=-159.941 spacegroup="No. 12" pbc="T T T"
La -3.665 -7.570 3.478
La -17.252 -4.978 6.601
La -1.106 -2.482 -1.295
La -19.810 -10.068 11.374
La -10.364 -7.789 6.557
La -10.553 -4.759 3.522
La -3.096 -3.302 2.194
La -17.821 -9.248 7.886
La -14.392 -8.425 6.138
La -6.526 -4.122 3.941
La -1.545 -6.543 -0.119
La -19.371 -6.008 10.198
La -12.993 -4.471 6.947
La -7.924 -8.076 3.132
Ag -5.210 -5.723 1.340
Ag -15.709 -6.825 8.740
Pt -22.065 -5.331 11.253
Pt -20.412 -8.472 8.870
Pt -0.504 -4.078 1.209
Pt -8.527 -2.907 2.160
Pt -12.391 -9.640 7.919
Pt -11.033 -2.667 5.627
Pt -8.342 -5.965 5.205
Pt -12.576 -6.582 4.875
Pt -17.031 -10.757 10.284
Pt -3.885 -1.793 -0.205